Entry 1:
Crystalline ZnRu5 at its relaxed geometry, computed with PBE.

```
data_ZnRu5
_chemical_formula_sum 'Zn2 Ru10'
_cell_length_a 4.337
_cell_length_b 2.753
_cell_length_c 14.021
_cell_angle_alpha 90.00
_cell_angle_beta 90.00
_cell_angle_gamma 90.00
_space_group_name_H-M_alt 'A m m 2'
_space_group_IT_number 38
_space_group_name_Hall 'A 2 -2'
loop_
_atom_site_label
_atom_site_type_symbol
_atom_site_fract_x
_atom_site_fract_y
_atom_site_fract_z
Zn1 Zn 0.000 0.000 0.000
Ru1 Ru 0.000 0.000 0.329
Ru2 Ru 0.000 0.000 0.668
Ru3 Ru 0.500 0.000 0.219
Ru4 Ru 0.500 0.000 0.554
Ru5 Ru 0.500 0.000 0.889
```

Results
crystal system = orthorhombic
spin magnetization = 0.0 μB/cell
DFT formation energy = 80 meV per atom


Entry 2:
Crystalline Pr5Ho at its relaxed geometry, computed with PBE.

```
data_Pr5Ho
_chemical_formula_sum 'Pr10 Ho2'
_cell_length_a 5.205
_cell_length_b 15.658
_cell_length_c 5.205
_cell_angle_alpha 90.00
_cell_angle_beta 90.00
_cell_angle_gamma 90.00
_space_group_name_H-M_alt 'C m m m'
_space_group_IT_number 65
_space_group_name_Hall '-C 2 2'
loop_
_atom_site_label
_atom_site_type_symbol
_atom_site_fract_x
_atom_site_fract_y
_atom_site_fract_z
Pr1 Pr 0.000 0.000 0.000
Pr2 Pr 0.000 0.165 0.500
Pr3 Pr 0.000 0.334 0.000
Ho1 Ho 0.000 0.500 0.500
```

Results
crystal system = orthorhombic
spin magnetization = 0.0 μB/cell
DFT formation energy = 15 meV per atom


Entry 3:
Crystalline CuPt at its relaxed geometry, computed with PBE.

```
data_CuPt
_chemical_formula_sum 'Cu24 Pt24'
_cell_length_a 5.422
_cell_length_b 7.631
_cell_length_c 16.266
_cell_angle_alpha 90.00
_cell_angle_beta 90.00
_cell_angle_gamma 90.00
_space_group_name_H-M_alt 'F 2 2 2'
_space_group_IT_number 22
_space_group_name_Hall 'F 2 2'
loop_
_atom_site_label
_atom_site_type_symbol
_atom_site_fract_x
_atom_site_fract_y
_atom_site_fract_z
Cu1 Cu 0.000 0.000 0.000
Cu2 Cu 0.000 0.000 0.164
Cu3 Cu 0.000 0.000 0.500
Cu4 Cu 0.250 0.250 0.582
Pt1 Pt 0.000 0.000 0.338
Pt2 Pt 0.250 0.250 0.078
Pt3 Pt 0.250 0.250 0.250
Pt4 Pt 0.250 0.250 0.750
```

Results
crystal system = orthorhombic
spin magnetization = 0.0 μB/cell
DFT formation energy = -119 meV per atom